[1]
{"formula": "Ac3CuP2Pt6", "functional": "PBE", "state": "optimized geometry", "cell": [[5.706, 0.000, 0.000], [-2.853, 4.942, 0.000], [0.000, 0.000, 9.938]], "species": ["Ac", "Ac", "Ac", "Cu", "P", "P", "Pt", "Pt", "Pt", "Pt", "Pt", "Pt"], "frac_coords": [[0.000, 0.000, 0.000], [0.333, 0.667, 0.590], [0.667, 0.333, 0.410], [0.000, 0.000, 0.500], [0.333, 0.667, 0.121], [0.667, 0.333, 0.879], [0.162, 0.324, 0.285], [0.162, 0.838, 0.285], [0.324, 0.162, 0.715], [0.676, 0.838, 0.285], [0.838, 0.162, 0.715], [0.838, 0.676, 0.715]], "delta_e_f_kj_per_mol_atoms": -88.8, "n_ef_per_ev_atom": 0.39, "total_magnetization_mub_per_cell": 0.00, "sg": "P-3m1"}

---

[2]
{"formula": "AcCuP2Pt7", "functional": "PBE", "state": "optimized geometry", "cell": [[-2.069, 2.069, 13.852], [2.069, -2.069, 13.852], [2.069, 2.069, -13.852]], "species": ["Ac", "Cu", "P", "P", "Pt", "Pt", "Pt", "Pt", "Pt", "Pt", "Pt"], "frac_coords": [[0.000, 0.000, 0.000], [0.750, 0.250, 0.500], [0.371, 0.371, 0.000], [0.629, 0.629, 0.000], [0.087, 0.587, 0.500], [0.293, 0.293, 0.000], [0.413, 0.913, 0.500], [0.500, 0.500, 0.000], [0.587, 0.087, 0.500], [0.707, 0.707, 0.000], [0.913, 0.413, 0.500]], "delta_e_f_kj_per_mol_atoms": -19.1, "n_ef_per_ev_atom": 0.42, "total_magnetization_mub_per_cell": 0.00, "sg": "I-4m2"}